# TlAsBr2Cl (PBE, relaxed)
data_TlAsBr2Cl
_symmetry_space_group_name_H-M 'P 4/m m m'
_symmetry_Int_Tables_number 123
_symmetry_space_group_name_Hall '-P 4 2'
_cell_length_a 6.428
_cell_length_b 6.428
_cell_length_c 4.556
_cell_angle_alpha 90.00
_cell_angle_beta 90.00
_cell_angle_gamma 90.00
loop_
_atom_site_label
_atom_site_type_symbol
_atom_site_fract_x
_atom_site_fract_y
_atom_site_fract_z
Tl1 Tl 0.000 0.000 0.000
As1 As 0.500 0.500 0.000
Br1 Br 0.000 0.500 0.500
Cl1 Cl 0.500 0.500 0.500
# * offset from the most stable computed form: 322 kJ/mol of formula units


# TlAs2BrCl (PBE, relaxed)
data_TlAs2BrCl
_symmetry_space_group_name_H-M 'P 4/m m m'
_symmetry_Int_Tables_number 123
_symmetry_space_group_name_Hall '-P 4 2'
_cell_length_a 4.873
_cell_length_b 4.873
_cell_length_c 7.058
_cell_angle_alpha 90.00
_cell_angle_beta 90.00
_cell_angle_gamma 90.00
loop_
_atom_site_label
_atom_site_type_symbol
_atom_site_fract_x
_atom_site_fract_y
_atom_site_fract_z
Tl1 Tl 0.000 0.000 0.000
As1 As 0.000 0.500 0.500
Br1 Br 0.500 0.500 0.000
Cl1 Cl 0.500 0.500 0.500
# * offset from the most stable computed form: 0 kJ/mol of formula units


# TlAs2BrCl (PBE, relaxed)
data_TlAs2BrCl
_symmetry_space_group_name_H-M 'P 4/m m m'
_symmetry_Int_Tables_number 123
_symmetry_space_group_name_Hall '-P 4 2'
_cell_length_a 5.495
_cell_length_b 5.495
_cell_length_c 5.533
_cell_angle_alpha 90.00
_cell_angle_beta 90.00
_cell_angle_gamma 90.00
loop_
_atom_site_label
_atom_site_type_symbol
_atom_site_fract_x
_atom_site_fract_y
_atom_site_fract_z
Tl1 Tl 0.000 0.000 0.000
As1 As 0.000 0.500 0.000
Br1 Br 0.000 0.000 0.500
Cl1 Cl 0.500 0.500 0.500
# * offset from the most stable computed form: 143 kJ/mol of formula units


# V2AsBrCl (PBE, relaxed)
data_V2AsBrCl
_symmetry_space_group_name_H-M 'P 4/m m m'
_symmetry_Int_Tables_number 123
_symmetry_space_group_name_Hall '-P 4 2'
_cell_length_a 5.003
_cell_length_b 5.003
_cell_length_c 5.220
_cell_angle_alpha 90.00
_cell_angle_beta 90.00
_cell_angle_gamma 90.00
loop_
_atom_site_label
_atom_site_type_symbol
_atom_site_fract_x
_atom_site_fract_y
_atom_site_fract_z
V1 V 0.000 0.500 0.000
As1 As 0.000 0.000 0.000
Br1 Br 0.000 0.000 0.500
Cl1 Cl 0.500 0.500 0.500
# * VASP energy: -4.79 eV per atom